Below is a geometry-optimized Ac4NiTe2Rh structure, with properties calculated at the PBE-GGA level.

```
8
Lattice="-0.691 -3.495 -2.587 6.002 1.956 -4.246 2.750 -5.076 6.124" Properties=species:S:1:pos:R:3 pbc="T T T"
Te 4.376 -1.560 0.939
Ac 3.758 -3.489 3.711
Ac 6.404 -4.266 0.306
Ni 0.000 0.000 0.000
Ac 4.994 0.369 -1.833
Rh 2.656 -0.770 -3.416
Te 1.029 -4.286 1.769
Ac 1.657 -2.350 -1.015
```

mass density = 8.189 g/cm3
raw total energy = -5.44 eV per atom
total magnetic moment = 0.00 μB per formula unit
space group = P2/m, No. 10
raw formation energy = -962 meV per atom



Below is a geometry-optimized AcTlNiRh structure, with properties calculated at the PBE-GGA level.

```
4
Lattice="4.965 0.000 0.000 2.483 4.300 0.000 2.483 1.433 4.054" Properties=species:S:1:pos:R:3 pbc="T T T"
Ac 4.965 2.867 2.027
Ni 2.483 1.433 1.014
Tl 0.000 0.000 0.000
Rh 7.448 4.300 3.041
```

mass density = 11.375 g/cm3
raw total energy = -5.04 eV per atom
total magnetic moment = 0.00 μB per formula unit
energy of formation = -0.13 eV per atom
space group = F-43m, No. 216



Below is a geometry-optimized AcTmNiRh structure, with properties calculated at the PBE-GGA level.

```
4
Lattice="-4.191 0.879 2.601 -0.042 -0.630 4.970 -0.280 3.982 3.028" Properties=species:S:1:pos:R:3 pbc="T T T"
Ni -1.128 1.058 2.650
Ac -2.257 2.115 5.300
Tm 0.000 0.000 0.000
Rh -3.385 3.173 7.949
```

mass density = 10.411 g/cm3
raw total energy = -5.86 eV per atom
total magnetic moment = 0.00 μB per formula unit
energy of formation = -0.43 eV per atom
space group = F-43m, No. 216